Record 1
Below is an optimized crystal structure of EuH2, with properties calculated at the PBE level.

Cell lengths 3.971, 3.971, 5.405 Å; angles 90.00, 90.00, 120.00 degrees
Last column: magnetic moment on the atom in μB.
Fractional positions:
Eu 0.333 0.667 0.250  6.84
Eu 0.667 0.333 0.750  6.84
H 0.333 0.667 0.750  -0.02
H 0.000 0.000 0.000  -0.02
H 0.667 0.333 0.250  -0.02
H 0.000 0.000 0.500  -0.02

Values from the calculation:
Space-group type: P6_3/mmc
M_tot in μB per atom: 2.3333
Final energy in eV/atom: -6.213

Record 2
Below is an optimized crystal structure of MgTaAu, with properties calculated at the PBE level.

Cell lengths 7.453, 3.010, 5.289 Å; angles 106.69, 75.81, 89.73 degrees
Fractional positions:
Au 0.003 0.608 0.641
Mg 0.733 0.025 0.469
Ta 0.327 0.960 0.370
Au 0.660 0.305 0.039
Ta 0.399 0.695 0.800
Mg 0.055 0.326 0.074

Values from the calculation:
Space-group type: P1
Energy relative to the lowest polymorph listed for this composition in meV per atom: 98
M_tot in μB per atom: 0.0000
ΔH_f (0 K) in eV per atom: -0.099

Record 3
Below is an optimized crystal structure of Hf6In3Hg, with properties calculated at the PBE level.

Cell lengths 6.945, 8.777, 8.777 Å; angles 119.29, 90.00, 90.00 degrees
Fractional positions:
Hf 0.830 0.421 0.965
In 0.493 0.900 0.703
Hf 0.819 0.043 0.957
In 0.993 0.100 0.297
Hf 0.830 0.035 0.579
In 0.993 0.703 0.900
In 0.493 0.297 0.100
In 0.701 0.592 0.408
Hf 0.587 0.610 0.768
Hf 0.587 0.232 0.390
Hf 0.499 0.263 0.737
Hg 0.147 0.165 0.835
Hf 0.330 0.965 0.421
In 0.201 0.408 0.592
Hg 0.647 0.835 0.165
Hf 0.999 0.737 0.263
Hf 0.087 0.768 0.610
Hf 0.087 0.390 0.232
Hf 0.319 0.957 0.043
Hf 0.330 0.579 0.035

Values from the calculation:
Space-group type: Cmc2_1
M_tot in μB per atom: 0.0000
ΔH_f (0 K) in eV per atom: 0.078

Record 4
Below is an optimized crystal structure of HfScTc2Hg, with properties calculated at the PBE level.

Cell lengths 4.993, 4.794, 4.993 Å; angles 90.00, 90.00, 90.00 degrees
Last column: magnetic moment on the atom in μB.
Fractional positions:
Hf 0.500 0.500 0.500  -0.37
Tc 0.500 0.000 0.000  0.88
Hg 0.000 0.000 0.000  0.00
Sc 0.000 0.500 0.000  -0.25
Tc 0.000 0.000 0.500  1.22

Values from the calculation:
Space-group type: P4/mmm
M_tot in μB per atom: 0.2644
ΔH_f (0 K) in eV per atom: 1.618

Record 5
Below is an optimized crystal structure of In2SiBi, with properties calculated at the PBE level.

Cell lengths 5.255, 5.255, 5.255 Å; angles 60.00, 60.00, 60.00 degrees
Fractional positions:
Bi 0.500 0.500 0.500
In 0.250 0.250 0.250
Si 0.000 0.000 0.000
In 0.750 0.750 0.750

Values from the calculation:
Space-group type: Fm-3m
Energy relative to the lowest polymorph listed for this composition in meV per atom: 132
Formation energy from raw total energies in eV per atom: 0.362
M_tot in μB per atom: 0.0000

Record 6
Below is an optimized crystal structure of Al2GaSb2Te, with properties calculated at the PBE level.

Cell lengths 7.244, 7.969, 7.678 Å; angles 121.26, 90.00, 90.00 degrees
Fractional positions:
Al 0.311 0.514 0.343
Ga 0.796 0.174 0.000
Al 0.811 0.486 0.657
Ga 0.296 0.826 0.000
Sb 0.681 0.170 0.654
Al 0.811 0.829 0.343
Sb 0.181 0.484 0.654
Sb 0.181 0.830 0.346
Al 0.311 0.171 0.657
Te 0.194 0.186 0.000
Te 0.694 0.814 0.000
Sb 0.681 0.516 0.346

Values from the calculation:
Space-group type: Cmc2_1
Formation energy from raw total energies in eV per atom: -0.113
M_tot in μB per atom: 0.0000

Record 7
Below is an optimized crystal structure of Li2AcZnCd4, with properties calculated at the PBE level.

Cell lengths 4.680, 4.680, 10.175 Å; angles 76.70, 76.70, 60.00 degrees
Fractional positions:
Cd 0.870 0.870 0.389
Cd 0.130 0.130 0.611
Ac 0.000 0.000 0.000
Li 0.231 0.231 0.308
Cd 0.405 0.405 0.785
Zn 0.500 0.500 0.500
Li 0.769 0.769 0.692
Cd 0.595 0.595 0.215

Values from the calculation:
Space-group type: R-3m
M_tot in μB per atom: 0.0000
ΔH_f (0 K) in eV per atom: -0.198

Record 8
Below is an optimized crystal structure of SmAlPt, with properties calculated at the PBE level.

Cell lengths 4.320, 7.106, 12.120 Å; angles 91.19, 90.00, 90.00 degrees
Fractional positions:
Sm 0.750 0.026 0.293
Sm 0.250 0.477 0.626
Pt 0.250 0.778 0.908
Al 0.250 0.853 0.457
Al 0.750 0.647 0.798
Pt 0.750 0.222 0.092
Al 0.750 0.147 0.543
Sm 0.250 0.349 0.919
Pt 0.750 0.268 0.756
Pt 0.250 0.732 0.244
Sm 0.750 0.651 0.081
Pt 0.750 0.776 0.571
Al 0.750 0.006 0.916
Al 0.250 0.353 0.202
Al 0.250 0.994 0.084
Pt 0.250 0.224 0.429
Sm 0.250 0.974 0.707
Sm 0.750 0.523 0.374

Values from the calculation:
Space-group type: P2_1/m
M_tot in μB per atom: 0.0000
ΔH_f (0 K) in eV per atom: -1.084

Record 9
Below is an optimized crystal structure of Sc6CdAg, with properties calculated at the PBE level.

Cell lengths 5.100, 5.100, 8.585 Å; angles 74.40, 74.40, 74.77 degrees
Fractional positions:
Sc 0.346 0.346 0.952
Ag 0.000 0.000 0.000
Sc 0.075 0.571 0.296
Sc 0.654 0.654 0.048
Sc 0.925 0.429 0.704
Cd 0.500 0.500 0.500
Sc 0.571 0.075 0.296
Sc 0.429 0.925 0.704

Values from the calculation:
Space-group type: C2/m
M_tot in μB per atom: 0.0004
ΔH_f (0 K) in eV per atom: 0.152

Record 10
Below is an optimized crystal structure of CdFeOs, with properties calculated at the PBE level.

Cell lengths 4.110, 4.110, 4.110 Å; angles 60.00, 60.00, 60.00 degrees
Fractional positions:
Fe 0.750 0.750 0.750
Cd 0.500 0.500 0.500
Os 0.000 0.000 0.000

Values from the calculation:
Space-group type: F-43m
Energy relative to the lowest polymorph listed for this composition in meV per atom: 475
M_tot in μB per atom: 0.0001
ΔH_f (0 K) in eV per atom: 0.797

Record 11
Below is an optimized crystal structure of HfFe3S, with properties calculated at the PBE level.

Cell lengths 4.140, 4.140, 4.140 Å; angles 90.00, 90.00, 90.00 degrees
Last column: magnetic moment on the atom in μB.
Fractional positions:
Fe 0.000 0.000 0.500  1.45
Hf 0.500 0.500 0.500  -0.46
S 0.000 0.000 0.000  0.02
Fe 0.500 0.000 0.000  1.76
Fe 0.000 0.500 0.000  1.58

Values from the calculation:
Space-group type: Pm-3m
Energy relative to the lowest polymorph listed for this composition in meV per atom: 0
Formation energy from raw total energies in eV per atom: -0.026
M_tot in μB per atom: 0.8071

Record 12
Below is an optimized crystal structure of Ce2ThPb, with properties calculated at the PBE level.

Cell lengths 4.145, 4.145, 6.935 Å; angles 90.00, 90.00, 90.00 degrees
Last column: magnetic moment on the atom in μB.
Fractional positions:
Ce 0.000 0.000 0.718  0.52
Pb 0.500 0.500 0.500  -0.02
Th 0.500 0.500 0.000  0.10
Ce 0.000 0.000 0.282  0.52

Values from the calculation:
Space-group type: P4/mmm
Energy relative to the lowest polymorph listed for this composition in meV per atom: 74
M_tot in μB per atom: 0.3493
ΔH_f (0 K) in eV per atom: -0.148